No. 1
KBe2Cl: relaxed, PBE.

## Properties
Crystal system: tetragonal
V in A^3/atom: 25.70
E_tot in eV per cell: -8.8
ΔE_f (raw) in kcal/mol of atoms: 9.0
Magnetization in μB per atom: 0.00
E above lowest polymorph in eV/f.u.: 1.54

The structure in CIF format:
```
data_KBe2Cl
_symmetry_space_group_name_H-M 'P 4/m m m'
_symmetry_Int_Tables_number 123
_symmetry_space_group_name_Hall '-P 4 2'
_cell_length_a 3.881
_cell_length_b 3.881
_cell_length_c 6.825
_cell_angle_alpha 90.00
_cell_angle_beta 90.00
_cell_angle_gamma 90.00
loop_
_atom_site_label
_atom_site_type_symbol
_atom_site_fract_x
_atom_site_fract_y
_atom_site_fract_z
K1 K 0.000 0.000 0.000
Be1 Be 0.000 0.500 0.500
Cl1 Cl 0.500 0.500 0.000
```

***

No. 2
K2BeCl: relaxed, PBE.

## Properties
Crystal system: monoclinic
V in A^3/atom: 35.53
E_tot in eV per cell: -17.7
ΔE_f (raw) in kcal/mol of atoms: -6.3
Magnetization in μB per atom: 0.00
E above lowest polymorph in eV/f.u.: 0.14

The structure in CIF format:
```
data_K2BeCl
_symmetry_space_group_name_H-M 'C 1 2/m 1'
_symmetry_Int_Tables_number 12
_cell_length_a 7.482
_cell_length_b 4.293
_cell_length_c 9.184
_cell_angle_alpha 90.00
_cell_angle_beta 105.53
_cell_angle_gamma 90.00
loop_
_symmetry_equiv_pos_as_xyz
'x,y,z'
'-x,-y,-z'
'-x,y,-z'
'x,-y,z'
'x+1/2,y+1/2,z'
'-x+1/2,-y+1/2,-z'
'-x+1/2,y+1/2,-z'
'x+1/2,-y+1/2,z'
loop_
_atom_site_label
_atom_site_type_symbol
_atom_site_fract_x
_atom_site_fract_y
_atom_site_fract_z
K1 K 0.239 0.000 0.219
Be1 Be 0.000 0.000 0.500
Cl1 Cl 0.000 0.500 0.000
```

***

No. 3
K2BeCl: relaxed, PBE.

## Properties
Crystal system: monoclinic
V in A^3/atom: 33.46
E_tot in eV per cell: -17.2
ΔE_f (raw) in kcal/mol of atoms: -4.7
Magnetization in μB per atom: 0.00
E above lowest polymorph in eV/f.u.: 0.41

The structure in CIF format:
```
data_K2BeCl
_symmetry_space_group_name_H-M 'C 1 m 1'
_symmetry_Int_Tables_number 8
_cell_length_a 12.477
_cell_length_b 4.042
_cell_length_c 5.308
_cell_angle_alpha 90.00
_cell_angle_beta 90.44
_cell_angle_gamma 90.00
loop_
_symmetry_equiv_pos_as_xyz
'x,y,z'
'x,-y,z'
'x+1/2,y+1/2,z'
'x+1/2,-y+1/2,z'
loop_
_atom_site_label
_atom_site_type_symbol
_atom_site_fract_x
_atom_site_fract_y
_atom_site_fract_z
K1 K 0.000 0.000 0.000
K2 K 0.247 0.000 0.497
Be1 Be 0.233 0.500 0.995
Cl1 Cl 0.015 0.500 0.501
```

***

No. 4
KBe2Cl: relaxed, PBE.

## Properties
Crystal system: orthorhombic
V in A^3/atom: 20.85
E_tot in eV per cell: -15.2
ΔE_f (raw) in kcal/mol of atoms: 16.1
Magnetization in μB per atom: 0.00
E above lowest polymorph in eV/f.u.: 2.76

The structure in CIF format:
```
data_KBe2Cl
_symmetry_space_group_name_H-M 'C m m m'
_symmetry_Int_Tables_number 65
_symmetry_space_group_name_Hall '-C 2 2'
_cell_length_a 3.255
_cell_length_b 5.721
_cell_length_c 8.956
_cell_angle_alpha 90.00
_cell_angle_beta 90.00
_cell_angle_gamma 90.00
loop_
_atom_site_label
_atom_site_type_symbol
_atom_site_fract_x
_atom_site_fract_y
_atom_site_fract_z
K1 K 0.000 0.000 0.000
Be1 Be 0.000 0.500 0.306
Cl1 Cl 0.000 0.000 0.500
```

***

No. 5
KBe2Cl: relaxed, PBE.

## Properties
Crystal system: monoclinic
V in A^3/atom: 22.52
E_tot in eV per cell: -20.3
ΔE_f (raw) in kcal/mol of atoms: 1.4
Magnetization in μB per atom: 0.00
E above lowest polymorph in eV/f.u.: 0.22

The structure in CIF format:
```
data_KBe2Cl
_symmetry_space_group_name_H-M 'C 1 m 1'
_symmetry_Int_Tables_number 8
_cell_length_a 7.712
_cell_length_b 3.456
_cell_length_c 6.786
_cell_angle_alpha 90.00
_cell_angle_beta 95.11
_cell_angle_gamma 90.00
loop_
_symmetry_equiv_pos_as_xyz
'x,y,z'
'x,-y,z'
'x+1/2,y+1/2,z'
'x+1/2,-y+1/2,z'
loop_
_atom_site_label
_atom_site_type_symbol
_atom_site_fract_x
_atom_site_fract_y
_atom_site_fract_z
K1 K 0.000 0.000 0.000
Be1 Be 0.160 0.500 0.647
Be2 Be 0.364 0.000 0.596
Cl1 Cl 0.319 0.000 0.294
```

***

No. 6
KBe2Cl: relaxed, PBE.

## Properties
Crystal system: trigonal
V in A^3/atom: 20.23
E_tot in eV per cell: -22.6
ΔE_f (raw) in kcal/mol of atoms: 16.5
Magnetization in μB per atom: 0.00
E above lowest polymorph in eV/f.u.: 2.84

The structure in CIF format:
```
data_KBe2Cl
_symmetry_space_group_name_H-M 'R -3 m'
_symmetry_Int_Tables_number 166
_symmetry_space_group_name_Hall '-R 3 2"'
_cell_length_a 3.2422
_cell_length_b 3.2422
_cell_length_c 26.6668
_cell_angle_alpha 90.00
_cell_angle_beta 90.00
_cell_angle_gamma 120.00
loop_
_atom_site_label
_atom_site_type_symbol
_atom_site_fract_x
_atom_site_fract_y
_atom_site_fract_z
K1 K 0.0000 0.0000 0.0000
Be1 Be 0.0000 0.0000 0.2302
Cl1 Cl 0.0000 0.0000 0.5000
```

***

No. 7
KBe2Cl: relaxed, PBE.

## Properties
Crystal system: tetragonal
V in A^3/atom: 23.31
E_tot in eV per cell: -15.3
ΔE_f (raw) in kcal/mol of atoms: 15.7
Magnetization in μB per atom: 0.00
E above lowest polymorph in eV/f.u.: 2.70

The structure in CIF format:
```
data_KBe2Cl
_symmetry_space_group_name_H-M 'I -4 m 2'
_symmetry_Int_Tables_number 119
_symmetry_space_group_name_Hall 'I -4 -2'
_cell_length_a 5.097
_cell_length_b 5.097
_cell_length_c 7.176
_cell_angle_alpha 90.00
_cell_angle_beta 90.00
_cell_angle_gamma 90.00
loop_
_atom_site_label
_atom_site_type_symbol
_atom_site_fract_x
_atom_site_fract_y
_atom_site_fract_z
K1 K 0.000 0.000 0.000
Be1 Be 0.000 0.000 0.500
Be2 Be 0.000 0.500 0.250
Cl1 Cl 0.000 0.500 0.750
```

***

No. 8
K2BeCl: relaxed, PBE.

## Properties
Crystal system: orthorhombic
V in A^3/atom: 30.53
E_tot in eV per cell: -9.0
ΔE_f (raw) in kcal/mol of atoms: -7.0
Magnetization in μB per atom: 0.00
E above lowest polymorph in eV/f.u.: 0.00

The structure in CIF format:
```
data_K2BeCl
_symmetry_space_group_name_H-M 'P m m m'
_symmetry_Int_Tables_number 47
_cell_length_a 3.761
_cell_length_b 3.835
_cell_length_c 8.467
_cell_angle_alpha 90.00
_cell_angle_beta 90.00
_cell_angle_gamma 90.00
loop_
_symmetry_equiv_pos_as_xyz
'x,y,z'
'-x,-y,-z'
'-x,-y,z'
'x,y,-z'
'x,-y,-z'
'-x,y,z'
'-x,y,-z'
'x,-y,z'
loop_
_atom_site_label
_atom_site_type_symbol
_atom_site_fract_x
_atom_site_fract_y
_atom_site_fract_z
K1 K 0.000 0.000 0.223
Be1 Be 0.500 0.500 0.500
Cl1 Cl 0.500 0.500 0.000
```

***

Copy entry 1 word for word.
KBe2Cl: relaxed, PBE.

## Properties
Crystal system: tetragonal
V in A^3/atom: 25.70
E_tot in eV per cell: -8.8
ΔE_f (raw) in kcal/mol of atoms: 9.0
Magnetization in μB per atom: 0.00
E above lowest polymorph in eV/f.u.: 1.54

The structure in CIF format:
```
data_KBe2Cl
_symmetry_space_group_name_H-M 'P 4/m m m'
_symmetry_Int_Tables_number 123
_symmetry_space_group_name_Hall '-P 4 2'
_cell_length_a 3.881
_cell_length_b 3.881
_cell_length_c 6.825
_cell_angle_alpha 90.00
_cell_angle_beta 90.00
_cell_angle_gamma 90.00
loop_
_atom_site_label
_atom_site_type_symbol
_atom_site_fract_x
_atom_site_fract_y
_atom_site_fract_z
K1 K 0.000 0.000 0.000
Be1 Be 0.000 0.500 0.500
Cl1 Cl 0.500 0.500 0.000
```

***

> Which of these has the highest E above lowest polymorph?

number 6